Here is a relaxed structure of HoWN2 from the Alexandria database. Energies are from PBE-GGA.

Unit cell a=2.780 b=2.780 c=5.753 alpha=90.00 beta=90.00 gamma=90.00
Positions (direct):
Ho 0.500 0.500 0.500
W 0.500 0.500 0.000
N 0.000 0.000 0.783
N 0.000 0.000 0.217

## Properties
The total moment comes out at 0.0 μB/cell. The value obtained for the density of states at the Fermi level is 1.209 states/eV/cell. Its space group is P4/mmm, No. 123. The formation energy without anion corrections is -232 meV per atom. Its calculated total energy is -35.110 eV/cell. The value obtained for the excess energy over the best structure of this formula in the dataset is 890.5 meV/atom.